Record 1
Computed, not measured: a geometry-optimized LiPu2Th3Te6 structure at the GGA-PBE level of DFT.

DFT total energy	-7.05	eV/atom

Unit cell a=19.3265 b=4.3719 c=8.9398 alpha=90.00 beta=104.42 gamma=90.00
Closest atoms and distances in Å follow each position.
Space group C2/m (No. 12)
Asymmetric unit:
Li 0.0000 0.0000 0.0000 x2  6 Te 2.92-3.04
Pu 0.1661 0.5000 0.3312 x4  6 Te 3.09-3.15
Th 0.0000 0.0000 0.5000 x2  6 Te 3.16-3.21
Th 0.1721 0.5000 0.8344 x4  6 Te 3.16-3.22
Te 0.0022 0.5000 0.7643 x4  2 Li 3.04, 1 Pu 3.15, 3 Th 3.19-3.21
Te 0.1559 0.0000 0.0793 x4  1 Li 2.92, 2 Pu 3.11, 3 Th 3.16-3.22
Te 0.1687 0.0000 0.5764 x4  3 Pu 3.09, 3 Th 3.16-3.17



Record 2
Computed, not measured: a geometry-optimized Pr2Tm2Tl3 structure at the GGA-PBE level of DFT.

DFT formation energy	-1.2	eV per formula unit
E above lowest polymorph	45	meV/atom

Unit cell a=3.7579 b=7.0596 c=8.9976 alpha=69.37 beta=89.94 gamma=74.60
Closest atoms and distances in Å follow each position.
Space group P-1 (No. 2)
Asymmetric unit:
Pr 0.1103 0.2793 0.4411 x2  3 Tl 3.29-3.34, 1 Pr 3.53
Tm 0.3771 0.7479 0.1766 x2  5 Tl 3.16-3.30
Tl 0.0000 0.5000 0.0000 x1  4 Tl 3.25, 4 Tm 3.29-3.30
Tl 0.3022 0.8948 0.7924 x2  3 Tm 3.16-3.23, 2 Tl 3.25, 3 Pr 3.29-3.34



no.,D(E_F) (states/eV/f.u.)
1,22.69
2,8.16